(1)
# DyScTlRh

Crystalline DyScTlRh at its relaxed geometry (PBE, Alexandria via LeMat-Bulk).

Results
N(E_F) = 1.908 states/eV/cell
calculated total energy = -22.60 eV per cell
energy relative to the lowest polymorph listed for this composition = 135 meV/atom
formation enthalpy at 0 K = -487.1 meV/atom

Cell: 4.9801 4.9801 4.9801 Å, 60.00 60.00 60.00°
Fractional coordinates of all 4 atoms:
Dy (0.0000, 0.0000, 0.0000)
Sc (0.5000, 0.5000, 0.5000)
Tl (0.7500, 0.7500, 0.7500)
Rh (0.2500, 0.2500, 0.2500)

(2)
# NaBi2Ir2

Crystalline NaBi2Ir2 at its relaxed geometry (PBE, Alexandria via LeMat-Bulk).

Results
N(E_F) = 4.878 states/eV/cell
calculated total energy = -25.69 eV per cell
energy relative to the lowest polymorph listed for this composition = 143 meV/atom
formation enthalpy at 0 K = 223.3 meV/atom

Cell: 6.1868 6.1868 6.1868 Å, 133.11 133.11 68.48°
Fractional coordinates of all 5 atoms:
Na (0.0000, 0.0000, 0.0000)
Bi (0.2500, 0.7500, 0.5000)
Bi (0.7500, 0.2500, 0.5000)
Ir (0.3780, 0.3780, 0.0000)
Ir (0.6220, 0.6220, 0.0000)

(3)
# RbGe2Os

Crystalline RbGe2Os at its relaxed geometry (PBE, Alexandria via LeMat-Bulk).

Results
N(E_F) = 3.369 states/eV/cell
calculated total energy = -17.64 eV per cell
energy relative to the lowest polymorph listed for this composition = 884 meV/atom
formation enthalpy at 0 K = 948.7 meV/atom

Cell: 4.7983 4.7983 4.7983 Å, 60.00 60.00 60.00°
Fractional coordinates of all 4 atoms:
Rb (0.0000, 0.0000, 0.0000)
Ge (0.2500, 0.2500, 0.2500)
Ge (0.7500, 0.7500, 0.7500)
Os (0.5000, 0.5000, 0.5000)

(4)
# K2LiP

Crystalline K2LiP at its relaxed geometry (PBE, Alexandria via LeMat-Bulk).

Results
calculated total energy = -10.33 eV per cell
formation enthalpy at 0 K = -203.2 meV/atom

Cell: 5.2160 5.2160 5.2160 Å, 119.92 119.92 90.14°
Fractional coordinates of all 4 atoms:
K (0.0000, 0.0000, 0.0000)
K (0.7500, 0.2500, 0.5000)
Li (0.5000, 0.5000, 0.0000)
P (0.2500, 0.7500, 0.5000)

(5)
# PaTi4N6

Crystalline PaTi4N6 at its relaxed geometry (PBE, Alexandria via LeMat-Bulk).

Results
N(E_F) = 9.913 states/eV/cell
formation energy (no corrections) = -1612 meV/atom
calculated total energy = -217.53 eV per cell

Cell: 5.2201 5.2201 15.2646 Å, 90.00 90.00 145.73°
Fractional coordinates of all 22 atoms:
Pa (0.1617, 0.8383, 0.7500)
Pa (0.8383, 0.1617, 0.2500)
Ti (0.0956, 0.9044, 0.1251)
Ti (0.0956, 0.9044, 0.3749)
Ti (0.3608, 0.6392, 0.0449)
Ti (0.3608, 0.6392, 0.4551)
Ti (0.6392, 0.3608, 0.5449)
Ti (0.6392, 0.3608, 0.9551)
Ti (0.9044, 0.0956, 0.6251)
Ti (0.9044, 0.0956, 0.8749)
N (0.0000, 0.0000, 0.0000)
N (0.0000, 0.0000, 0.5000)
N (0.1722, 0.8278, 0.2500)
N (0.2692, 0.7308, 0.5864)
N (0.2692, 0.7308, 0.9136)
N (0.4596, 0.5404, 0.1601)
N (0.4596, 0.5404, 0.3399)
N (0.5404, 0.4596, 0.6601)
N (0.5404, 0.4596, 0.8399)
N (0.7308, 0.2692, 0.0864)
N (0.7308, 0.2692, 0.4136)
N (0.8278, 0.1722, 0.7500)

(6)
# LaGdHgRu

Crystalline LaGdHgRu at its relaxed geometry (PBE, Alexandria via LeMat-Bulk).

Results
N(E_F) = 3.566 states/eV/cell
calculated total energy = -29.70 eV per cell
formation enthalpy at 0 K = -277.3 meV/atom

Cell: 5.1815 5.1815 5.1815 Å, 60.00 60.00 60.00°
Fractional coordinates of all 4 atoms:
La (0.0000, 0.0000, 0.0000)
Gd (0.5000, 0.5000, 0.5000)
Hg (0.2500, 0.2500, 0.2500)
Ru (0.7500, 0.7500, 0.7500)

(7)
# Er4ZnIr2

Crystalline Er4ZnIr2 at its relaxed geometry (PBE, Alexandria via LeMat-Bulk).

Results
N(E_F) = 5.921 states/eV/cell
calculated total energy = -42.13 eV per cell
energy relative to the lowest polymorph listed for this composition = 0 meV/atom
formation enthalpy at 0 K = -697.0 meV/atom

Cell: 8.3210 8.3210 8.3210 Å, 33.72 33.72 33.72°
Fractional coordinates of all 7 atoms:
Er (0.1208, 0.1208, 0.1208)
Er (0.3720, 0.3720, 0.3720)
Er (0.6280, 0.6280, 0.6280)
Er (0.8792, 0.8792, 0.8792)
Zn (0.5000, 0.5000, 0.5000)
Ir (0.2482, 0.2482, 0.2482)
Ir (0.7518, 0.7518, 0.7518)

(8)
# Re2Tc8Ru

Crystalline Re2Tc8Ru at its relaxed geometry (PBE, Alexandria via LeMat-Bulk).

Results
N(E_F) = 12.632 states/eV/cell
calculated total energy = -111.05 eV per cell
formation enthalpy at 0 K = 549.8 meV/atom

Cell: 6.9052 6.9052 4.5681 Å, 101.56 101.56 56.05°
Fractional coordinates of all 11 atoms:
Re (0.2481, 0.2481, 0.1490)
Re (0.7519, 0.7519, 0.8510)
Tc (0.1266, 0.1266, 0.6212)
Tc (0.1544, 0.5412, 0.6955)
Tc (0.4534, 0.4534, 0.2242)
Tc (0.4588, 0.8456, 0.3045)
Tc (0.5412, 0.1544, 0.6955)
Tc (0.5466, 0.5466, 0.7758)
Tc (0.8456, 0.4588, 0.3045)
Tc (0.8734, 0.8734, 0.3788)
Ru (0.0000, 0.0000, 0.0000)

Q: What is the formula in the fourth record?
A: K2LiP

Q: Which value of calculated total energy does entry 3 give?
A: -17.64 eV per cell